Material: Hf3TiAs4
Method: DFT, PBE
State: relaxed

## Properties
Formation energy = -0.663 eV/atom
Crystal system = orthorhombic
Symmetry = Pmn2_1 (31)

Unit cell a=5.2898 b=7.7979 c=9.1487 alpha=90.00 beta=90.00 gamma=90.00
Last column: nearest neighbours and their distance in Å.
Fractional positions:
Hf 0.5640 0.8384 0.0000  5 As 2.64-2.65
Hf 0.0642 0.6665 0.2453  5 As 2.63-2.66
Hf 0.5642 0.3335 0.2547  5 As 2.63-2.66
Hf 0.0640 0.1616 0.5000  5 As 2.64-2.65
Hf 0.5642 0.3335 0.7453  5 As 2.63-2.66
Hf 0.0642 0.6665 0.7547  5 As 2.63-2.66
Ti 0.0652 0.1753 0.0000  5 As 2.55-2.65
Ti 0.5652 0.8247 0.5000  5 As 2.55-2.65
As 0.0641 0.8486 0.0000  1 Ti 2.55, 4 Hf 2.65-2.66
As 0.5649 0.1777 0.0000  3 Hf 2.63-2.65, 2 Ti 2.64-2.65
As 0.0643 0.3271 0.2482  1 Ti 2.56, 4 Hf 2.64-2.65
As 0.5643 0.6729 0.2518  1 Ti 2.56, 4 Hf 2.64-2.65
As 0.0649 0.8223 0.5000  3 Hf 2.63-2.65, 2 Ti 2.64-2.65
As 0.5641 0.1514 0.5000  1 Ti 2.55, 4 Hf 2.65-2.66
As 0.5643 0.6729 0.7482  1 Ti 2.56, 4 Hf 2.64-2.65
As 0.0643 0.3271 0.7518  1 Ti 2.56, 4 Hf 2.64-2.65